Record 1
Density functional theory data (GGA-PBE) for AcMg9Cu3 after structural relaxation.

For the density of states at the Fermi level, the calculation gives 14.69 states/eV per cell. The calculation puts the energy relative to the elements at -0.08 eV per atom. The calculation puts the uncorrected energy at -63.682 eV for the cell shown.

It has space group C2/m (No. 12), with a = 5.4666 Å, b = 14.2268 Å, c = 7.4728 Å, α = 90.00°, β = 110.27° and γ = 90.00°. The distinct sites, in fractional coordinates, are Ac at (0.0000, 0.0000, 0.0000), Mg at (0.0000, 0.0000, 0.5000), Mg at (0.0953, 0.3865, 0.2138), Mg at (0.1654, 0.1800, 0.3371), Cu at (0.0000, 0.5000, 0.5000) and Cu at (0.2500, 0.2500, 0.0000).

Record 2
Density functional theory data (GGA-PBE) for MgSb2IN after structural relaxation.

The uncorrected formation energy comes out at 1.604 eV per atom. For the density of states at the Fermi level, the calculation gives 8.63 states/eV per cell. The calculation puts the uncorrected energy at -11.695 eV for the cell shown.

It has space group P4/mmm (No. 123), with a = 5.4161 Å, b = 5.4161 Å, c = 5.3364 Å, α = 90.00°, β = 90.00° and γ = 90.00°. The distinct sites, in fractional coordinates, are Mg at (0.0000, 0.0000, 0.0000), Sb at (0.0000, 0.5000, 0.0000), I at (0.0000, 0.0000, 0.5000) and N at (0.5000, 0.5000, 0.5000).

Record 3
Density functional theory data (GGA-PBE) for KZn2H after structural relaxation.

For the density of states at the Fermi level, the calculation gives 2.30 states/eV per cell. The calculation puts the uncorrected energy at -18.330 eV for the cell shown.

It has space group Fm-3m (No. 225), with a = 7.4356 Å, b = 7.4356 Å, c = 7.4356 Å, α = 90.00°, β = 90.00° and γ = 90.00°. The distinct sites, in fractional coordinates, are K at (0.0000, 0.0000, 0.0000), Zn at (0.2500, 0.2500, 0.2500) and H at (0.0000, 0.0000, 0.5000).

Record 4
Density functional theory data (GGA-PBE) for SrSc2Ni9 after structural relaxation.

For the density of states at the Fermi level, the calculation gives 43.50 states/eV per cell. The calculation puts the energy relative to the elements at -0.29 eV per atom. The calculation puts the uncorrected energy at -209.539 eV for the cell shown.

It has space group R-3m (No. 166, hexagonal axes), with a = 4.9541 Å, b = 4.9541 Å, c = 23.7668 Å, α = 90.00°, β = 90.00° and γ = 120.00°. The distinct sites, in fractional coordinates, are Sr at (0.0000, 0.0000, 0.0000), Sc at (0.0000, 0.0000, 0.1418), Ni at (0.0000, 0.0000, 0.3329), Ni at (0.0000, 0.0000, 0.5000) and Ni at (0.0037, 0.5019, 0.9141).

Record 5
Density functional theory data (GGA-PBE) for PaIn2Ir after structural relaxation.

For the density of states at the Fermi level, the calculation gives 17.96 states/eV per cell. The calculation puts the energy relative to the elements at 0.29 eV per atom. The calculation puts the uncorrected energy at -67.991 eV for the cell shown.

It has space group R-3m (No. 166, hexagonal axes), with a = 3.1001 Å, b = 3.1001 Å, c = 32.4565 Å, α = 90.00°, β = 90.00° and γ = 120.00°. The distinct sites, in fractional coordinates, are Pa at (0.0000, 0.0000, 0.0000), In at (0.0000, 0.0000, 0.0996) and Ir at (0.0000, 0.0000, 0.5000).

Record 6
Density functional theory data (GGA-PBE) for PrDy2Al6 after structural relaxation.

For the density of states at the Fermi level, the calculation gives 9.86 states/eV per cell. The calculation puts the energy relative to the elements at -0.26 eV per atom. The calculation puts the uncorrected energy at -77.610 eV for the cell shown.

It has space group Immm (No. 71), with a = 4.4269 Å, b = 7.2569 Å, c = 13.4464 Å, α = 90.00°, β = 90.00° and γ = 90.00°. The distinct sites, in fractional coordinates, are Pr at (0.0000, 0.0000, 0.0000), Dy at (0.0000, 0.5000, 0.1242), Al at (0.0000, 0.1819, 0.5000) and Al at (0.0000, 0.3046, 0.3143).